Density functional theory data (PBE) for an optimized crystal structure of BeCd3Ga.

```
BeCd3Ga
1.0
4.7686 0.0000 0.0000
0.0000 4.7686 0.0000
0.0000 0.0000 4.7686
Be Ga Cd
1 1 3
Cartesian
0.0000 0.0000 0.0000
2.3843 2.3843 2.3843
0.0000 2.3843 0.0000
0.0000 0.0000 2.3843
2.3843 0.0000 0.0000
```

M_tot: 0.0000 μB per atom
Energy of formation: 0.281 eV/atom

***

Density functional theory data (PBE) for an optimized crystal structure of LiRuRh2.

```
LiRuRh2
1.0
2.7169 0.0000 0.0000
0.0000 2.7169 0.0000
0.0000 0.0000 7.3873
Li Rh Ru
1 2 1
Cartesian
1.3585 1.3585 5.5722
0.0000 0.0000 7.3297
1.3585 1.3585 1.8703
0.0000 0.0000 3.6960
```

M_tot: 0.0000 μB per atom
Energy of formation: 0.128 eV/atom

***

Density functional theory data (PBE) for an optimized crystal structure of HfS2NCl.

```
HfS2NCl
1.0
5.0242 0.0000 0.0000
0.0000 5.0242 0.0000
0.0000 0.0000 4.2043
S N Hf Cl
2 1 1 1
Cartesian
0.0000 2.5121 0.0000
2.5121 0.0000 0.0000
0.0000 0.0000 2.1021
0.0000 0.0000 0.0000
2.5121 2.5121 2.1021
```

ΔE_f (raw): 0.151 eV/atom
M_tot: 0.4411 μB per atom

***

Density functional theory data (PBE) for an optimized crystal structure of RbHg3Pd.

```
RbHg3Pd
1.0
-2.8765 -1.3640 6.2192
-1.1830 -6.1488 -1.8723
6.1334 0.8768 4.0637
Pd Rb Hg
2 2 6
Cartesian
2.7574 -4.6240 1.6563
0.3457 -3.7382 0.7619
-0.6489 -1.9309 6.9871
3.8929 -1.1846 6.6867
5.1583 -0.9056 3.4371
-0.3553 -4.9220 5.2033
2.2485 -4.5185 7.1658
1.1880 -2.9535 3.3952
0.2335 -6.0808 2.3604
4.0771 -3.9767 4.0550
```

M_tot: 0.0000 μB per atom
Energy of formation: -0.180 eV/atom

***

Density functional theory data (PBE) for an optimized crystal structure of Pa2ZnPb.

```
Pa2ZnPb
1.0
3.2608 0.0000 0.0000
0.0000 3.2608 0.0000
0.0000 0.0000 9.0288
Pb Zn Pa
1 1 2
Cartesian
1.6304 1.6304 4.5144
1.6304 1.6304 0.0000
0.0000 0.0000 7.0111
0.0000 0.0000 2.0177
```

M_tot: 0.1790 μB per atom
Energy of formation: 0.090 eV/atom

***

Density functional theory data (PBE) for an optimized crystal structure of KRePt.

```
KRePt
1.0
-6.2354 -2.2518 -0.0536
-3.8656 -3.4014 4.1763
3.8539 5.0110 -1.9977
K Pt Re
1 1 1
Cartesian
-10.0718 -5.6368 4.1108
-2.8547 -1.5977 1.1651
-7.2755 -4.0718 2.9695
```

M_tot: 0.0000 μB per atom
Energy of formation: 0.493 eV/atom

***

Density functional theory data (PBE) for an optimized crystal structure of La2PrDy3Te6.

```
La2PrDy3Te6
1.0
4.4212 0.0000 0.0000
0.0000 9.0002 0.2142
-2.2106 -2.7055 9.3869
La Pr Dy Te
2 1 3 6
Cartesian
2.2106 4.2202 6.4291
0.0000 2.0745 3.1720
2.2106 0.0000 0.0000
2.2106 4.5001 0.1071
2.2106 -0.2963 6.2950
0.0000 6.5909 3.3061
0.0000 6.5663 6.3975
2.2106 4.4384 3.1944
2.2106 -0.2717 3.2036
2.2106 -0.3605 9.3594
0.0000 6.6551 0.2417
0.0000 1.8562 6.4068
```

ΔE_f (raw): -1.418 eV/atom
M_tot: 0.0000 μB per atom

***

Density functional theory data (PBE) for an optimized crystal structure of CdInTc.

```
CdInTc
1.0
5.2925 0.0061 -0.0035
2.8112 4.4841 0.0035
-3.5914 -3.0761 2.3769
Cd In Tc
1 1 1
Cartesian
0.0528 0.0292 0.0000
2.6240 1.4539 0.0000
5.4269 3.0070 0.0000
```

M_tot: 0.0000 μB per atom
Energy of formation: 0.441 eV/atom

***

Results for total energy: -1.62 -6.34 -5.53 -1.59 -5.90 -6.04 -5.36 -4.23 (in eV/atom, following the order of the records).